Compound: Tb2Nd2DySc
Source: Alexandria via LeMat-Bulk
Functional: PBE-GGA
Structure: optimized geometry

Structure (CIF):
```
data_Tb2Nd2DySc
_chemical_formula_sum 'Tb4 Nd4 Dy2 Sc2'
_cell_length_a 6.904
_cell_length_b 5.616
_cell_length_c 9.725
_cell_angle_alpha 90.00
_cell_angle_beta 90.00
_cell_angle_gamma 90.00
_symmetry_space_group_name_H-M 'P m m a'
_symmetry_Int_Tables_number 51
loop_
_symmetry_equiv_pos_as_xyz
'x,y,z'
'-x,-y,-z'
'-x+1/2,-y,z'
'x+1/2,y,-z'
'x+1/2,-y,-z'
'-x+1/2,y,z'
'-x,y,-z'
'x,-y,z'
loop_
_atom_site_label
_atom_site_fract_x
_atom_site_fract_y
_atom_site_fract_z
_atom_site_occupancy
Tb1 0.250 0.000 0.164 1
Tb2 0.250 0.500 0.667 1
Nd1 0.000 0.500 0.000 1
Nd2 0.250 0.000 0.813 1
Dy1 0.250 0.500 0.347 1
Sc1 0.000 0.000 0.500 1
```

Computed properties:
Crystal system = orthorhombic
Raw total energy = -4.86 eV per atom

***

Compound: KY4Cl
Source: Alexandria via LeMat-Bulk
Functional: PBE-GGA
Structure: optimized geometry

Structure (CIF):
```
data_KY4Cl
_chemical_formula_sum 'K4 Y16 Cl4'
_cell_length_a 9.759
_cell_length_b 9.759
_cell_length_c 9.759
_cell_angle_alpha 90.00
_cell_angle_beta 90.00
_cell_angle_gamma 90.00
_symmetry_space_group_name_H-M 'F -4 3 m'
_symmetry_Int_Tables_number 216
_symmetry_space_group_name_Hall 'F -4 2 3'
loop_
_atom_site_label
_atom_site_fract_x
_atom_site_fract_y
_atom_site_fract_z
_atom_site_occupancy
K1 0.000 0.000 0.000 1
Y1 0.126 0.126 0.626 1
Cl1 0.250 0.250 0.250 1
```

Computed properties:
E_form (uncorrected) = 0.42 eV per atom
Crystal system = cubic

***

Compound: MgTl3Ag2F6
Source: Alexandria via LeMat-Bulk
Functional: PBE-GGA
Structure: optimized geometry

Structure (CIF):
```
data_MgTl3Ag2F6
_chemical_formula_sum 'Mg1 Tl3 Ag2 F6'
_cell_length_a 5.8875
_cell_length_b 5.8875
_cell_length_c 6.8831
_cell_angle_alpha 90.00
_cell_angle_beta 90.00
_cell_angle_gamma 120.00
_symmetry_space_group_name_H-M 'P -3 m 1'
_symmetry_Int_Tables_number 164
_symmetry_space_group_name_Hall '-P 3 2"'
loop_
_atom_site_label
_atom_site_fract_x
_atom_site_fract_y
_atom_site_fract_z
_atom_site_occupancy
Mg1 0.0000 0.0000 0.0000 1
Tl1 0.0000 0.0000 0.5000 1
Tl2 0.3333 0.6667 0.1456 1
Ag1 0.3333 0.6667 0.5815 1
F1 0.1620 0.3241 0.8332 1
```

Computed properties:
E_form (uncorrected) = -1.79 eV per atom
Crystal system = trigonal

***

Compound: RbTlPb2F8
Source: Alexandria via LeMat-Bulk
Functional: PBE-GGA
Structure: optimized geometry

Structure (CIF):
```
data_RbTlPb2F8
_chemical_formula_sum 'Rb1 Tl1 Pb2 F8'
_cell_length_a 4.326
_cell_length_b 8.235
_cell_length_c 6.003
_cell_angle_alpha 90.00
_cell_angle_beta 94.54
_cell_angle_gamma 90.00
_symmetry_space_group_name_H-M 'P 1 2/m 1'
_symmetry_Int_Tables_number 10
loop_
_symmetry_equiv_pos_as_xyz
'x,y,z'
'-x,-y,-z'
'-x,y,-z'
'x,-y,z'
loop_
_atom_site_label
_atom_site_fract_x
_atom_site_fract_y
_atom_site_fract_z
_atom_site_occupancy
Rb1 0.000 0.000 0.000 1
Tl1 0.000 0.500 0.000 1
Pb1 0.500 0.249 0.500 1
F1 0.028 0.294 0.752 1
F2 0.453 0.500 0.214 1
F3 0.476 0.000 0.717 1
```

Computed properties:
E_form (uncorrected) = -2.27 eV per atom
Crystal system = monoclinic

***

Compound: NaSiB
Source: Alexandria via LeMat-Bulk
Functional: PBE-GGA
Structure: optimized geometry

Structure (CIF):
```
data_NaSiB
_chemical_formula_sum 'Na4 Si4 B4'
_cell_length_a 6.050
_cell_length_b 7.286
_cell_length_c 5.368
_cell_angle_alpha 90.00
_cell_angle_beta 90.00
_cell_angle_gamma 90.00
_symmetry_space_group_name_H-M 'C m c m'
_symmetry_Int_Tables_number 63
_symmetry_space_group_name_Hall '-C 2c 2'
loop_
_atom_site_label
_atom_site_fract_x
_atom_site_fract_y
_atom_site_fract_z
_atom_site_occupancy
Na1 0.000 0.126 0.250 1
Si1 0.000 0.311 0.750 1
B1 0.000 0.500 0.000 1
```

Computed properties:
E_form (uncorrected) = 0.60 eV per atom
Crystal system = orthorhombic

***

Compound: Mg3TlPd4
Source: Alexandria via LeMat-Bulk
Functional: PBE-GGA
Structure: optimized geometry

Structure (CIF):
```
data_Mg3TlPd4
_chemical_formula_sum 'Mg9 Tl3 Pd12'
_cell_length_a 4.5691
_cell_length_b 4.5691
_cell_length_c 22.4969
_cell_angle_alpha 90.00
_cell_angle_beta 90.00
_cell_angle_gamma 120.00
_symmetry_space_group_name_H-M 'R -3 m'
_symmetry_Int_Tables_number 166
_symmetry_space_group_name_Hall '-R 3 2"'
loop_
_atom_site_label
_atom_site_fract_x
_atom_site_fract_y
_atom_site_fract_z
_atom_site_occupancy
Mg1 0.0000 0.0000 0.0000 1
Mg2 0.0000 0.0000 0.2513 1
Tl1 0.0000 0.0000 0.5000 1
Pd1 0.0000 0.0000 0.1208 1
Pd2 0.0000 0.0000 0.3729 1
```

Computed properties:
Crystal system = trigonal
Raw total energy = -4.08 eV per atom

***

Compound: PrTmCu2Ge2
Source: Alexandria via LeMat-Bulk
Functional: PBE-GGA
Structure: optimized geometry

Structure (CIF):
```
data_PrTmCu2Ge2
_chemical_formula_sum 'Pr1 Tm1 Cu2 Ge2'
_cell_length_a 4.2740
_cell_length_b 4.2740
_cell_length_c 7.5363
_cell_angle_alpha 90.00
_cell_angle_beta 90.00
_cell_angle_gamma 120.00
_symmetry_space_group_name_H-M 'P -3 m 1'
_symmetry_Int_Tables_number 164
_symmetry_space_group_name_Hall '-P 3 2"'
loop_
_atom_site_label
_atom_site_fract_x
_atom_site_fract_y
_atom_site_fract_z
_atom_site_occupancy
Pr1 0.0000 0.0000 0.0000 1
Tm1 0.0000 0.0000 0.5000 1
Cu1 0.3333 0.6667 0.7186 1
Ge1 0.3333 0.6667 0.2651 1
```

Computed properties:
Crystal system = trigonal
Raw total energy = -5.12 eV per atom

***

Compound: Pm3PrHo2Tm6
Source: Alexandria via LeMat-Bulk
Functional: PBE-GGA
Structure: optimized geometry

Structure (CIF):
```
data_Pm3PrHo2Tm6
_chemical_formula_sum 'Pm6 Pr2 Ho4 Tm12'
_cell_length_a 6.163
_cell_length_b 10.671
_cell_length_c 11.701
_cell_angle_alpha 90.00
_cell_angle_beta 100.08
_cell_angle_gamma 90.00
_symmetry_space_group_name_H-M 'C 1 2/m 1'
_symmetry_Int_Tables_number 12
loop_
_symmetry_equiv_pos_as_xyz
'x,y,z'
'-x,-y,-z'
'-x,y,-z'
'x,-y,z'
'x+1/2,y+1/2,z'
'-x+1/2,-y+1/2,-z'
'-x+1/2,y+1/2,-z'
'x+1/2,-y+1/2,z'
loop_
_atom_site_label
_atom_site_fract_x
_atom_site_fract_y
_atom_site_fract_z
_atom_site_occupancy
Pm1 0.000 0.000 0.000 1
Pm2 0.000 0.333 0.000 1
Pr1 0.000 0.500 0.500 1
Ho1 0.000 0.167 0.500 1
Tm1 0.249 0.000 0.749 1
Tm2 0.250 0.167 0.251 1
```

Computed properties:
Crystal system = monoclinic
Raw total energy = -4.56 eV per atom